DFT (PBE) results for a geometry-optimized Hf8AlIn2 structure.

POSCAR file:
```
Hf8AlIn2
1.0
3.8584 -6.8869 0.0000
3.8584 6.8869 0.0000
-2.3865 0.0000 4.6255
Hf Al In
8 1 2
Direct
0.0995 0.3183 0.6686
0.2090 0.7910 0.0000
0.3183 0.0995 0.6686
0.4078 0.4078 0.2082
0.5922 0.5922 0.7918
0.6817 0.9005 0.3314
0.7910 0.2090 0.0000
0.9005 0.6817 0.3314
0.0000 0.0000 0.0000
0.3048 0.6952 0.5000
0.6952 0.3048 0.5000
```

Calculated values
Energy of formation   77 meV per atom
DFT total energy   -8.000 eV per atom
Density of states at the Fermi level   9.46 states/eV/f.u.